! AlIn2Ni, relaxed, DFT PBE; values from VASP
! total energy	-3.42	eV/atom
&SYSTEM
  ibrav = 0, nat = 4, ntyp = 3
/
ATOMIC_SPECIES
Al 26.98 Al.upf
In 114.82 In.upf
Ni 58.69 Ni.upf
CELL_PARAMETERS angstrom
-2.6315 -3.6425 1.6373
-2.0159 0.2625 4.3290
-4.7423 0.4684 0.4050
ATOMIC_POSITIONS angstrom
Al -4.6949 -1.4558 3.1857
In 0.0000 0.0000 0.0000
In -2.3475 -0.7279 1.5929
Ni -7.0423 -2.1837 4.7785

***

! Al2InNi, relaxed, DFT PBE; values from VASP
! total energy	-3.81	eV/atom
&SYSTEM
  ibrav = 0, nat = 4, ntyp = 3
/
ATOMIC_SPECIES
In 114.82 In.upf
Ni 58.69 Ni.upf
Al 26.98 Al.upf
CELL_PARAMETERS angstrom
2.2673 1.3090 3.7024
-2.2673 1.3090 3.7024
0.0000 -2.6180 3.7024
ATOMIC_POSITIONS angstrom
In 0.0000 0.0000 5.5536
Ni 0.0000 0.0000 8.3304
Al 0.0000 0.0000 2.7768
Al 0.0000 0.0000 0.0000

***

! Zr2AlInNi2Pd2, relaxed, DFT PBE; values from VASP
! total energy	-6.24	eV/atom
&SYSTEM
  ibrav = 0, nat = 8, ntyp = 5
/
ATOMIC_SPECIES
Al 26.98 Al.upf
Pd 106.42 Pd.upf
Zr 91.22 Zr.upf
Ni 58.69 Ni.upf
In 114.82 In.upf
CELL_PARAMETERS angstrom
4.5245 0.0000 0.0000
0.0000 4.5245 0.0000
0.0000 0.0000 6.4237
ATOMIC_POSITIONS angstrom
Al 0.0000 0.0000 0.0000
Pd 0.0000 2.2623 1.4818
Pd 2.2623 0.0000 4.9418
Zr 2.2623 2.2623 0.0000
Zr 0.0000 0.0000 3.2118
Ni 2.2623 0.0000 1.5292
Ni 0.0000 2.2623 4.8945
In 2.2623 2.2623 3.2118

***

! Ta2AlInNi2, relaxed, DFT PBE; values from VASP
! total energy	-7.06	eV/atom
&SYSTEM
  ibrav = 0, nat = 24, ntyp = 4
/
ATOMIC_SPECIES
In 114.82 In.upf
Ta 180.95 Ta.upf
Ni 58.69 Ni.upf
Al 26.98 Al.upf
CELL_PARAMETERS angstrom
-2.2956 9.7782 -1.6191
-3.3390 -1.1446 -2.1784
-4.5048 -3.1818 8.5765
ATOMIC_POSITIONS angstrom
In -3.3912 -2.3768 6.4467
In -5.9230 3.5442 3.2675
In -5.3561 6.8013 0.6873
In -6.4748 0.2930 5.8215
Ta -4.1995 1.8845 1.4978
Ta -3.6619 5.1215 -1.0270
Ta -0.6113 2.4216 -0.3353
Ta -3.9422 5.7139 3.0402
Ta -4.7538 -1.2885 4.0146
Ta -1.1290 -0.7567 2.1281
Ta -7.6612 5.1892 5.0674
Ta -4.5301 2.5131 5.6232
Ni -3.6498 -0.4761 1.8956
Ni -3.3491 3.2511 3.4251
Ni -2.7932 6.4810 0.8761
Ni -3.9137 0.1040 5.9441
Ni -0.0463 -0.0118 0.0771
Ni -3.1161 2.6571 -0.5687
Ni -6.4866 5.9938 2.8443
Ni -7.0994 2.8005 5.4614
Al -2.2690 4.0804 1.3340
Al -2.8196 0.8760 3.8615
Al -1.7328 7.3279 -1.1942
Al -2.5279 0.2507 -0.2059

***

! TbAlInNi, relaxed, DFT PBE; values from VASP
! total energy	-4.69	eV/atom
! energy above the lowest structure with this stoichiometry	0.020	eV per atom
&SYSTEM
  ibrav = 0, nat = 8, ntyp = 4
/
ATOMIC_SPECIES
In 114.82 In.upf
Tb 158.93 Tb.upf
Al 26.98 Al.upf
Ni 58.69 Ni.upf
CELL_PARAMETERS angstrom
2.1094 -5.1678 0.0000
2.1094 5.1678 0.0000
0.0000 0.0000 7.1315
ATOMIC_POSITIONS angstrom
In 2.1094 -3.7405 3.1868
In 2.1094 3.7405 6.7526
Tb 2.1094 -0.6888 1.8392
Tb 2.1094 0.6888 5.4049
Al 2.1094 -3.5379 0.3652
Al 2.1094 3.5379 3.9310
Ni 2.1094 2.2202 1.7403
Ni 2.1094 -2.2202 5.3060

***

! TbAlInNi, relaxed, DFT PBE; values from VASP
! total energy	-4.71	eV/atom
! energy above the lowest structure with this stoichiometry	0.000	eV per atom
&SYSTEM
  ibrav = 0, nat = 8, ntyp = 4
/
ATOMIC_SPECIES
Ni 58.69 Ni.upf
Tb 158.93 Tb.upf
Al 26.98 Al.upf
In 114.82 In.upf
CELL_PARAMETERS angstrom
5.1880 -2.0842 0.0000
5.1880 2.0842 0.0000
-0.0854 0.0000 7.1782
ATOMIC_POSITIONS angstrom
Ni 2.2209 0.0000 1.6355
Ni 8.0697 0.0000 5.5427
Tb 0.5968 0.0000 5.5077
Tb 9.6938 0.0000 1.6704
Al 6.7952 0.0000 0.3914
Al 3.4954 0.0000 6.7868
In 3.6319 0.0000 3.9531
In 6.6587 0.0000 3.2251

***

! TbAlInNi, relaxed, DFT PBE; values from VASP
! total energy	-4.69	eV/atom
! energy above the lowest structure with this stoichiometry	0.012	eV per atom
&SYSTEM
  ibrav = 0, nat = 8, ntyp = 4
/
ATOMIC_SPECIES
In 114.82 In.upf
Ni 58.69 Ni.upf
Al 26.98 Al.upf
Tb 158.93 Tb.upf
CELL_PARAMETERS angstrom
-4.5789 2.2798 -4.9650
-2.4759 3.2941 3.7959
0.6536 5.2608 1.8128
ATOMIC_POSITIONS angstrom
In -1.5821 3.5094 0.9838
In -4.2939 4.8595 -1.9567
Ni -2.6588 2.8737 -1.3457
Ni -1.4012 6.5779 4.3126
Al -4.3576 7.1731 0.2373
Al -2.6058 6.3009 2.1368
Tb -4.0022 9.1805 2.7891
Tb -0.1243 0.5837 0.3827

***

! Tm2Al3InNi2, relaxed, DFT PBE; values from VASP
! total energy	-4.84	eV/atom
&SYSTEM
  ibrav = 0, nat = 8, ntyp = 4
/
ATOMIC_SPECIES
Tm 168.93 Tm.upf
Al 26.98 Al.upf
In 114.82 In.upf
Ni 58.69 Ni.upf
CELL_PARAMETERS angstrom
-2.0272 0.6918 -4.9846
-3.6055 -2.6029 -3.1080
-5.0962 3.9530 2.6539
ATOMIC_POSITIONS angstrom
Tm -6.2333 2.1136 -1.5318
Tm -4.5138 -0.0381 -3.8632
Al -3.6737 1.8810 0.2125
Al -5.0438 -1.4009 -6.7017
Al -7.0466 0.1240 -5.7088
In -5.6350 3.4939 1.3946
Ni -2.9559 0.4610 -1.6768
Ni -7.8132 1.5333 -3.8794

***

! TmAlInNi, relaxed, DFT PBE; values from VASP
! total energy	-4.65	eV/atom
! energy above the lowest structure with this stoichiometry	0.000	eV per atom
&SYSTEM
  ibrav = 0, nat = 8, ntyp = 4
/
ATOMIC_SPECIES
Al 26.98 Al.upf
In 114.82 In.upf
Tm 168.93 Tm.upf
Ni 58.69 Ni.upf
CELL_PARAMETERS angstrom
-1.0254 -6.6706 -2.2276
-4.9152 -0.0666 2.4620
-5.1339 1.2861 -1.4879
ATOMIC_POSITIONS angstrom
Al -1.7164 -1.0962 -0.2804
Al -2.3481 -5.2056 -1.6526
In -8.9358 -0.9210 0.1794
In -9.3560 -3.6542 -0.7333
Tm -4.4000 0.5340 0.4265
Tm -6.2429 -2.6399 -0.5583
Ni -7.0461 0.8551 0.6830
Ni -3.2274 -3.0059 -0.8506

***

! TmAlInNi, relaxed, DFT PBE; values from VASP
! total energy	-4.65	eV/atom
! energy above the lowest structure with this stoichiometry	0.008	eV per atom
&SYSTEM
  ibrav = 0, nat = 8, ntyp = 4
/
ATOMIC_SPECIES
Ni 58.69 Ni.upf
Al 26.98 Al.upf
Tm 168.93 Tm.upf
In 114.82 In.upf
CELL_PARAMETERS angstrom
2.0959 -5.0622 0.0000
2.0959 5.0622 0.0000
0.0000 0.0000 7.0960
ATOMIC_POSITIONS angstrom
Ni 2.0959 -2.1617 1.8177
Ni 2.0959 2.1617 5.3657
Al 2.0959 -3.4876 6.7364
Al 2.0959 3.4876 3.1884
Tm 2.0959 -0.6907 5.2672
Tm 2.0959 0.6907 1.7192
In 2.0959 -3.6933 3.9188
In 2.0959 3.6933 0.3708

***

! NpAlIn, relaxed, DFT PBE; values from VASP
! total energy	-5.97	eV/atom
&SYSTEM
  ibrav = 0, nat = 3, ntyp = 3
/
ATOMIC_SPECIES
In 114.82 In.upf
Al 26.98 Al.upf
Np 237.00 Np.upf
CELL_PARAMETERS angstrom
0.0000 3.4490 3.4490
3.4490 0.0000 3.4490
3.4490 3.4490 0.0000
ATOMIC_POSITIONS angstrom
In 0.0000 0.0000 0.0000
Al 1.7245 1.7245 1.7245
Np 5.1735 5.1735 5.1735

***

! PaAlIn, relaxed, DFT PBE; values from VASP
! total energy	-5.04	eV/atom
! energy above the lowest structure with this stoichiometry	0.000	eV per atom
&SYSTEM
  ibrav = 0, nat = 3, ntyp = 3
/
ATOMIC_SPECIES
In 114.82 In.upf
Al 26.98 Al.upf
Pa 231.04 Pa.upf
CELL_PARAMETERS angstrom
-2.8501 -0.8092 3.7285
-4.3220 -1.8839 -0.6713
-0.8926 -4.4668 1.3896
ATOMIC_POSITIONS angstrom
In -2.0162 -1.7900 1.1117
Al 0.0000 0.0000 0.0000
Pa -6.0485 -5.3699 3.3351